Arrangement A

{
  "formula": "Fe3Re2",
  "functional": "PBE",
  "state": "optimized geometry",
  "dos_ef_per_ev_atom": 0.919,
  "space_group": "P-3m1, No. 164",
  "crystal_system": "trigonal",
  "lattice_angstrom": [[-1.173, 1.755, -3.468], [0.932, -3.951, 0.062], [-4.762, -1.107, 1.050]],
  "species": ["Fe", "Fe", "Fe", "Re", "Re"],
  "fractional_positions": [[0.667, 0.333, 0.647], [0.333, 0.667, 0.353], [0.000, 0.000, 0.000], [0.667, 0.333, 0.173], [0.333, 0.667, 0.827]]
}

Arrangement B

{
  "formula": "Fe3Re2",
  "functional": "PBE",
  "state": "optimized geometry",
  "dos_ef_per_ev_atom": 1.219,
  "space_group": "Fdd2, No. 43",
  "crystal_system": "orthorhombic",
  "lattice_angstrom": [[0.000, 4.378, 6.189], [2.272, 0.000, 6.189], [2.272, 4.378, 0.000]],
  "species": ["Re", "Re", "Re", "Re", "Fe", "Fe", "Fe", "Fe", "Fe", "Fe"],
  "fractional_positions": [[0.209, 0.895, 0.360], [0.537, 0.360, 0.895], [0.890, 0.713, 0.041], [0.355, 0.041, 0.713], [0.060, 0.940, 0.940], [0.743, 0.454, 0.352], [0.796, 0.507, 0.799], [0.898, 0.799, 0.507], [0.451, 0.352, 0.454], [0.310, 0.190, 0.190]]
}

Quick ranking, most stable first: arrangement B, arrangement A.

Arrangement A

{
  "formula": "Fe3Re5",
  "functional": "PBE",
  "state": "optimized geometry",
  "dos_ef_per_ev_atom": 0.981,
  "space_group": "Cmmm, No. 65",
  "crystal_system": "orthorhombic",
  "lattice_angstrom": [[5.344, 0.005, 0.000], [0.073, 5.344, 0.000], [0.000, 0.000, 3.798]],
  "species": ["Re", "Re", "Re", "Re", "Re", "Fe", "Fe", "Fe"],
  "fractional_positions": [[0.000, 0.500, 0.000], [0.500, 0.000, 0.000], [0.261, 0.739, 0.500], [0.739, 0.261, 0.500], [0.000, 0.000, 0.000], [0.500, 0.500, 0.000], [0.251, 0.251, 0.500], [0.749, 0.749, 0.500]]
}

Arrangement B

{
  "formula": "Fe3Re5",
  "functional": "PBE",
  "state": "optimized geometry",
  "dos_ef_per_ev_atom": 0.880,
  "space_group": "P6_3/mcm, No. 193",
  "crystal_system": "hexagonal",
  "lattice_angstrom": [[-4.545, -5.358, 1.580], [0.785, -3.698, 6.129], [-2.905, 3.131, 2.261]],
  "species": ["Re", "Re", "Re", "Re", "Re", "Re", "Re", "Re", "Re", "Re", "Fe", "Fe", "Fe", "Fe", "Fe", "Fe"],
  "fractional_positions": [[0.667, 0.667, 0.500], [0.667, 0.667, 0.000], [0.000, 0.223, 0.750], [0.777, 0.223, 0.250], [0.223, 0.000, 0.250], [0.333, 0.333, 0.000], [0.000, 0.777, 0.250], [0.333, 0.333, 0.500], [0.223, 0.777, 0.750], [0.778, 0.000, 0.750], [0.583, 0.000, 0.250], [0.000, 0.583, 0.750], [0.417, 0.000, 0.750], [0.417, 0.583, 0.250], [0.583, 0.417, 0.750], [0.000, 0.417, 0.250]]
}

Quick ranking, most stable first: arrangement A, arrangement B.

Arrangement A

{
  "formula": "Fe4Re5",
  "functional": "PBE",
  "state": "optimized geometry",
  "dos_ef_per_ev_atom": 0.812,
  "space_group": "P6_3/mcm, No. 193",
  "crystal_system": "hexagonal",
  "lattice_angstrom": [[7.213, 0.000, 0.000], [3.606, 6.246, 0.000], [0.000, 0.000, 5.234]],
  "species": ["Re", "Re", "Re", "Re", "Re", "Re", "Re", "Re", "Re", "Re", "Fe", "Fe", "Fe", "Fe", "Fe", "Fe", "Fe", "Fe"],
  "fractional_positions": [[0.333, 0.333, 0.000], [0.000, 0.327, 0.250], [0.333, 0.333, 0.500], [0.673, 0.327, 0.750], [0.673, 0.000, 0.250], [0.000, 0.673, 0.750], [0.667, 0.667, 0.000], [0.327, 0.000, 0.750], [0.327, 0.673, 0.250], [0.667, 0.667, 0.500], [0.000, 0.667, 0.250], [0.333, 0.667, 0.750], [0.667, 0.000, 0.750], [0.000, 0.000, 0.000], [0.667, 0.333, 0.250], [0.000, 0.333, 0.750], [0.000, 0.000, 0.500], [0.333, 0.000, 0.250]]
}

Arrangement B

{
  "formula": "Fe4Re5",
  "functional": "PBE",
  "state": "optimized geometry",
  "dos_ef_per_ev_atom": 1.040,
  "space_group": "I4/mmm, No. 139",
  "crystal_system": "tetragonal",
  "lattice_angstrom": [[-3.975, 3.975, 1.907], [3.975, -3.975, 1.907], [3.975, 3.975, -1.907]],
  "species": ["Re", "Re", "Re", "Re", "Re", "Fe", "Fe", "Fe", "Fe"],
  "fractional_positions": [[0.000, 0.000, 0.000], [0.330, 0.330, 0.660], [0.330, 0.670, 0.000], [0.670, 0.670, 0.340], [0.670, 0.330, 0.000], [0.340, 0.000, 0.340], [0.000, 0.660, 0.660], [0.660, 0.000, 0.660], [0.000, 0.340, 0.340]]
}

Quick ranking, most stable first: arrangement B, arrangement A.

Arrangement A

{
  "formula": "FeReRh3",
  "functional": "PBE",
  "state": "optimized geometry",
  "dos_ef_per_ev_atom": 3.182,
  "space_group": "Pm-3m, No. 221",
  "crystal_system": "cubic",
  "lattice_angstrom": [[4.661, 0.000, 0.000], [0.000, 4.661, 0.000], [0.000, 0.000, 4.661]],
  "species": ["Rh", "Rh", "Rh", "Fe", "Re"],
  "fractional_positions": [[0.500, 0.000, 0.000], [0.000, 0.500, 0.000], [0.000, 0.000, 0.500], [0.500, 0.500, 0.500], [0.000, 0.000, 0.000]]
}

Arrangement B

{
  "formula": "FeReRh3",
  "functional": "PBE",
  "state": "optimized geometry",
  "dos_ef_per_ev_atom": 2.081,
  "space_group": "Pm-3m, No. 221",
  "crystal_system": "cubic",
  "lattice_angstrom": [[-1.893, 3.718, 1.209], [-3.414, -2.226, 1.502], [1.905, -0.295, 3.892]],
  "species": ["Rh", "Rh", "Rh", "Re", "Fe"],
  "fractional_positions": [[0.000, 0.000, 0.500], [0.000, 0.500, 0.000], [0.500, 0.000, 0.000], [0.500, 0.500, 0.500], [0.000, 0.000, 0.000]]
}

Quick ranking, most stable first: arrangement B, arrangement A.

Arrangement A

{
  "formula": "FeRe3S",
  "functional": "PBE",
  "state": "optimized geometry",
  "dos_ef_per_ev_atom": 1.334,
  "space_group": "Pm-3m, No. 221",
  "crystal_system": "cubic",
  "lattice_angstrom": [[-1.373, 3.845, -1.727], [-4.120, -1.607, -0.302], [-0.888, 1.511, 4.072]],
  "species": ["Fe", "Re", "Re", "Re", "S"],
  "fractional_positions": [[0.000, 0.000, 0.000], [0.000, 0.000, 0.500], [0.500, 0.000, 0.000], [0.000, 0.500, 0.000], [0.500, 0.500, 0.500]]
}

Arrangement B

{
  "formula": "FeRe3S",
  "functional": "PBE",
  "state": "optimized geometry",
  "dos_ef_per_ev_atom": 1.803,
  "space_group": "Pm-3m, No. 221",
  "crystal_system": "cubic",
  "lattice_angstrom": [[-2.687, -1.416, -3.035], [-2.743, -1.301, 3.036], [-1.921, 3.839, -0.090]],
  "species": ["Re", "Re", "Re", "Fe", "S"],
  "fractional_positions": [[0.000, 0.000, 0.500], [0.500, 0.000, 0.000], [0.000, 0.500, 0.000], [0.500, 0.500, 0.500], [0.000, 0.000, 0.000]]
}

Quick ranking, most stable first: arrangement B, arrangement A.

Arrangement A

{
  "formula": "FeReSb2",
  "functional": "PBE",
  "state": "optimized geometry",
  "dos_ef_per_ev_atom": 0.891,
  "space_group": "P4/mmm, No. 123",
  "crystal_system": "tetragonal",
  "lattice_angstrom": [[-2.218, 1.147, -2.120], [-1.709, -2.780, 0.284], [-3.327, 2.542, 4.857]],
  "species": ["Re", "Fe", "Sb", "Sb"],
  "fractional_positions": [[0.500, 0.500, 0.750], [0.500, 0.500, 0.250], [0.000, 0.000, 0.005], [0.000, 0.000, 0.495]]
}

Arrangement B

{
  "formula": "FeReSb2",
  "functional": "PBE",
  "state": "optimized geometry",
  "dos_ef_per_ev_atom": 1.233,
  "space_group": "I-4m2, No. 119",
  "crystal_system": "tetragonal",
  "lattice_angstrom": [[5.218, -0.349, 0.000], [2.373, 4.661, 0.000], [-3.795, -2.156, 2.881]],
  "species": ["Re", "Sb", "Sb", "Fe"],
  "fractional_positions": [[0.750, 0.250, 0.500], [0.000, 0.000, 0.000], [0.250, 0.750, 0.500], [0.500, 0.500, 0.000]]
}

Arrangement C

{
  "formula": "FeReSb2",
  "functional": "PBE",
  "state": "optimized geometry",
  "dos_ef_per_ev_atom": 1.343,
  "space_group": "C2/m, No. 12",
  "crystal_system": "monoclinic",
  "lattice_angstrom": [[-1.062, -2.329, -3.706], [2.170, -2.118, -3.331], [0.097, -5.010, 1.982]],
  "species": ["Sb", "Sb", "Re", "Fe"],
  "fractional_positions": [[0.995, 0.995, 0.001], [0.505, 0.505, 0.499], [0.250, 0.250, 0.250], [0.750, 0.750, 0.750]]
}

Quick ranking, most stable first: arrangement A, arrangement C, arrangement B.